# Li3Ti2Ni2O8, relaxed, DFT PBE+U
data_Li3Ti2Ni2O8
_symmetry_space_group_name_H-M 'C 1 2/m 1'
_symmetry_Int_Tables_number 12
_symmetry_space_group_name_Hall '-C 2y'
_cell_length_a 10.3442
_cell_length_b 5.8850
_cell_length_c 5.8730
_cell_angle_alpha 90.00
_cell_angle_beta 124.44
_cell_angle_gamma 90.00
loop_
_atom_site_label
_atom_site_type_symbol
_atom_site_fract_x
_atom_site_fract_y
_atom_site_fract_z
Li1 Li 0.0000 0.0000 0.0000
Li2 Li 0.2500 0.2500 0.5000
Ti1 Ti 0.0000 0.5000 0.0000
Ti2 Ti 0.0000 0.5000 0.5000
Ni1 Ni 0.2500 0.2500 0.0000
O1 O 0.0015 0.2751 0.2485
O2 O 0.2305 0.5000 0.2124
O3 O 0.2342 0.5000 0.7448
# Offset from the most stable computed form, eV per atom: 0.016
# M_tot, μB per cell: 6.00